[1]
Density functional theory data (PBEsol) for a geometry-optimized CuWSe structure.

Results
V ... 15.79 Å³ per atom
Energy above the lowest structure with this stoichiometry ... 0 meV/atom

Lattice parameters (Å, degrees): 3.010 3.010 6.039 90.00 90.00 120.00
Sites, in units of the cell vectors:
Cu: 0.000 0.000 0.011
Se: 0.333 0.667 0.644
W: 0.667 0.333 0.345

***

[2]
Density functional theory data (PBEsol) for a geometry-optimized NdMg12 structure.

Results
Formation energy ... -0.0395 eV/atom
V ... 23.54 Å³ per atom

Lattice parameters (Å, degrees): 5.829 7.810 7.810 82.00 68.09 68.09
Sites, in units of the cell vectors:
Nd: 0.000 0.000 0.000
Mg: 0.289 0.211 0.211
Mg: 0.000 0.648 0.352
Mg: 0.352 0.648 0.648
Mg: 0.648 0.352 0.352
Mg: 0.500 0.789 0.211
Mg: 0.000 0.000 0.500
Mg: 0.711 0.789 0.789
Mg: 0.000 0.500 0.000
Mg: 0.000 0.352 0.648
Mg: 0.500 0.211 0.789
Mg: 0.500 0.500 0.000
Mg: 0.500 0.000 0.500

***

[3]
Density functional theory data (PBEsol) for a geometry-optimized Y2PtBr structure.

Results
V ... 23.10 Å³ per atom
Energy above the lowest structure with this stoichiometry ... 189 meV/atom

Lattice parameters (Å, degrees): 3.392 3.392 8.034 90.00 90.00 90.00
Sites, in units of the cell vectors:
Y: 0.000 0.000 0.713
Y: 0.000 0.000 0.287
Br: 0.500 0.500 0.000
Pt: 0.500 0.500 0.500

***

[4]
Density functional theory data (PBEsol) for a geometry-optimized Mg2TlFe structure.

Results
Formation energy ... 0.2524 eV/atom
V ... 17.83 Å³ per atom
Energy above the lowest structure with this stoichiometry ... 45 meV/atom

Lattice parameters (Å, degrees): 4.123 4.051 5.157 113.13 113.57 90.00
Each line ends with the local moment (μB).
Sites, in units of the cell vectors:
Fe: 0.250 0.750 0.500  2.13
Mg: 0.002 0.002 0.004  -0.04
Mg: 0.750 0.250 0.499  -0.03
Tl: 0.498 0.498 0.996  -0.07

***

[5]
Density functional theory data (PBEsol) for a geometry-optimized AlNi2BiW structure.

Results
Formation energy ... 1.7495 eV/atom
V ... 21.22 Å³ per atom

Lattice parameters (Å, degrees): 4.547 4.547 5.134 90.00 90.00 90.00
Sites, in units of the cell vectors:
Ni: 0.000 0.500 0.000
Ni: 0.500 0.000 0.000
Bi: 0.000 0.000 0.000
W: 0.000 0.000 0.500
Al: 0.500 0.500 0.500

***

[6]
Density functional theory data (PBEsol) for a geometry-optimized BaSr2Si structure.

Results
V ... 34.69 Å³ per atom

Lattice parameters (Å, degrees): 5.172 5.172 5.189 90.00 90.00 90.00
Sites, in units of the cell vectors:
Ba: 0.500 0.500 0.500
Si: 0.000 0.000 0.500
Sr: 0.000 0.500 0.000
Sr: 0.500 0.000 0.000

***

[7]
Density functional theory data (PBEsol) for a geometry-optimized Sr2MgSbS structure.

Results
V ... 36.36 Å³ per atom

Lattice parameters (Å, degrees): 4.856 6.118 6.118 90.00 90.00 90.00
Sites, in units of the cell vectors:
Sb: 0.500 0.000 0.000
S: 0.500 0.500 0.500
Mg: 0.000 0.000 0.000
Sr: 0.000 0.000 0.500
Sr: 0.000 0.500 0.000

***

[8]
Density functional theory data (PBEsol) for a geometry-optimized SrLiCd4 structure.

Results
Formation energy ... -0.2390 eV/atom
V ... 24.08 Å³ per atom

Lattice parameters (Å, degrees): 5.890 5.890 5.890 60.00 60.00 60.00
Sites, in units of the cell vectors:
Sr: 0.000 0.000 0.000
Li: 0.750 0.750 0.750
Cd: 0.872 0.376 0.376
Cd: 0.376 0.376 0.376
Cd: 0.376 0.376 0.872
Cd: 0.376 0.872 0.376

***

Short version: VASP energy = -7.039, -2.022, -6.671, -3.505, -5.150, -2.954, -2.958, -1.672 eV per atom, in the order given.
Short version: ρ = 11.437, 2.365, 8.136, 7.189, 8.406, 4.076, 3.228, 6.255 g cm⁻³, in the order given.